This record from Alexandria describes a geometry-optimized Sm2Ag3GeSe6 structure. The functional is PBE.

- Symmetry: C2/m
- Magnetic moment: 0.00 μB per formula unit
- Uncorrected formation energy: -0.7922 eV/atom

The structure in extended XYZ format:
```
12
Lattice="-4.000 -1.098 -0.325 1.440 -6.556 4.437 -0.047 6.127 6.514" Properties=species:S:1:pos:R:3 pbc="T T T"
Sm -2.388 -1.287 7.104
Sm -0.220 -0.240 3.522
Ag -1.280 -3.827 2.056
Ag -3.068 1.889 4.745
Ag 0.460 -3.416 5.881
Ge -2.000 -0.549 -0.162
Se -0.042 -2.346 8.447
Se -1.837 -2.510 4.458
Se -2.566 0.819 2.179
Se -3.691 3.435 7.180
Se 1.082 -4.962 3.446
Se -0.771 0.983 6.168
```



This record from Alexandria describes a geometry-optimized Zr2ReIr structure. The functional is PBE.

- Symmetry: I-42d
- Magnetic moment: 0.34 μB per formula unit
- E_tot: -9.040 eV per atom

The structure in extended XYZ format:
```
8
Lattice="4.220 0.000 0.000 0.000 4.220 0.000 2.110 2.110 9.044" Properties=species:S:1:pos:R:3 pbc="T T T"
Re 2.110 2.110 0.000
Re 2.110 4.220 4.522
Ir 0.000 0.000 0.000
Ir 4.220 2.110 4.522
Zr 3.161 1.055 2.261
Zr 1.060 3.165 2.261
Zr 3.165 3.170 6.783
Zr 5.276 5.271 6.783
```



This record from Alexandria describes a geometry-optimized NaCaY2Os structure. The functional is PBE.

- Symmetry: P4/mmm
- Magnetic moment: 0.00 μB per formula unit
- E_tot: -5.416 eV per atom

The structure in extended XYZ format:
```
5
Lattice="5.415 0.000 0.000 0.000 5.415 0.000 0.000 0.000 5.762" Properties=species:S:1:pos:R:3 pbc="T T T"
Y 0.000 2.707 0.000
Y 2.707 0.000 0.000
Na 2.707 2.707 2.881
Ca 0.000 0.000 2.881
Os 0.000 0.000 0.000
```



This record from Alexandria describes a geometry-optimized RbCa2Ir structure. The functional is PBE.

- Symmetry: I-42d
- Magnetic moment: 0.00 μB per formula unit
- E_tot: -3.178 eV per atom

The structure in extended XYZ format:
```
8
Lattice="-6.344 0.051 -5.771 5.329 -3.238 -5.887 -2.033 -7.065 -4.201" Properties=species:S:1:pos:R:3 pbc="T T T"
Ca -5.377 -2.126 -6.822
Ca -2.743 -3.745 -9.793
Ca -3.224 -5.692 -6.065
Ca -6.422 -5.651 -8.922
Ir 0.000 0.000 0.000
Ir -4.442 -4.303 -7.900
Rb -0.507 -1.593 -5.829
Rb 1.395 -5.948 -7.958
```



This record from Alexandria describes a geometry-optimized PmPr2Y4Ho2 structure. The functional is PBE.

- Symmetry: P-1
- Magnetic moment: 0.00 μB per formula unit
- E_tot: -5.401 eV per atom

The structure in extended XYZ format:
```
9
Lattice="6.365 2.496 0.895 1.464 9.643 2.320 -3.328 -4.083 4.081" Properties=species:S:1:pos:R:3 pbc="T T T"
Pm 0.000 0.000 0.000
Pr 0.678 4.538 4.235
Pr 3.822 3.518 3.061
Y 5.344 9.555 3.557
Y 3.347 6.806 4.369
Y -0.844 -1.499 3.740
Y 1.154 1.249 2.928
Ho 5.772 6.212 1.917
Ho -1.272 1.844 5.379
```



This record from Alexandria describes a geometry-optimized CdHgAu2 structure. The functional is PBE.

- Symmetry: R3m
- Magnetic moment: 0.00 μB per formula unit
- E_tot: -1.902 eV per atom

The structure in extended XYZ format:
```
4
Lattice="-3.216 -3.059 -8.971 -5.568 -4.079 -7.248 -5.543 -1.159 -8.253" Properties=species:S:1:pos:R:3 pbc="T T T"
Au -14.273 -8.266 -24.379
Au -3.605 -2.088 -6.157
Hg -10.691 -6.191 -18.260
Cd -7.249 -4.198 -12.381
```